Record 1
# AsAu3 | Alexandria via LeMat-Bulk | PBE-GGA | relaxed
data_AsAu3
_chemical_formula_sum 'As4 Au12'
_symmetry_space_group_name_H-M 'F m -3 m'
_symmetry_Int_Tables_number 225
_symmetry_space_group_name_Hall '-F 4 2 3'
_cell_length_a 6.688
_cell_length_b 6.688
_cell_length_c 6.688
_cell_angle_alpha 90.00
_cell_angle_beta 90.00
_cell_angle_gamma 90.00
loop_
_atom_site_label
_atom_site_fract_x
_atom_site_fract_y
_atom_site_fract_z
As1 0.000 0.000 0.000
Au1 0.000 0.000 0.500
Au2 0.250 0.250 0.250
# Distance to the lowest polymorph of the same formula = 0.137 eV per atom

***

Record 2
Ce2PmNi2Ge2: relaxed, PBE-GGA.

```
data_Ce2PmNi2Ge2
_chemical_formula_sum 'Ce6 Pm3 Ni6 Ge6'
_symmetry_space_group_name_H-M 'R -3 m'
_symmetry_Int_Tables_number 166
_symmetry_space_group_name_Hall '-R 3 2"'
_cell_length_a 4.2337
_cell_length_b 4.2337
_cell_length_c 26.9862
_cell_angle_alpha 90.00
_cell_angle_beta 90.00
_cell_angle_gamma 120.00
loop_
_atom_site_label
_atom_site_fract_x
_atom_site_fract_y
_atom_site_fract_z
Ce1 0.0000 0.0000 0.1378
Pm1 0.0000 0.0000 0.0000
Ni1 0.0000 0.0000 0.4129
Ge1 0.0000 0.0000 0.2617
```

***

no.,magnetic moment (μB/f.u.),DFT formation energy (meV/atom)
1,0.0,242
2,0.7,-640